[1]
MnNi2TeRu | PBE | optimized geometry

a = 4.415 Å, b = 4.415 Å, c = 4.382 Å
α = 90.00°, β = 90.00°, γ = 90.00°
Space group P4/mmm (No. 123)
Asymmetric unit:
Mn 0.000 0.000 0.000 [1 per cell]
Ni 0.000 0.500 0.000 [2 per cell]
Te 0.500 0.500 0.500 [1 per cell]
Ru 0.000 0.000 0.500 [1 per cell]

Results
Magnetization (μB/atom): 0.63
Total energy (eV/cell): -28.39
D(E_F) (states/eV/cell): 6.91


[2]
UAg2I6 | PBE | optimized geometry

a = 16.576 Å, b = 14.055 Å, c = 7.964 Å
α = 90.00°, β = 117.03°, γ = 90.00°
Space group C2/c (No. 15)
Asymmetric unit:
U 0.000 0.246 0.250 [4 per cell]
Ag 0.218 0.345 0.554 [8 per cell]
I 0.113 0.399 0.183 [8 per cell]
I 0.114 0.089 0.198 [8 per cell]
I 0.115 0.235 0.673 [8 per cell]

Results
Magnetization (μB/atom): 0.22
Total energy (eV/cell): -125.46
Energy above the lowest structure with this stoichiometry (meV per atom): 0
D(E_F) (states/eV/cell): 44.36


[3]
KRbCuSe2 | PBE | optimized geometry

a = 5.434 Å, b = 7.391 Å, c = 7.838 Å
α = 90.00°, β = 90.00°, γ = 90.00°
Space group Pmma (No. 51)
Asymmetric unit:
K 0.250 0.000 0.154 [2 per cell]
Rb 0.250 0.500 0.378 [2 per cell]
Cu 0.000 0.500 0.000 [2 per cell]
Se 0.250 0.279 0.822 [4 per cell]

Results
Magnetization (μB/atom): 0.00
Total energy (eV/cell): -32.50
D(E_F) (states/eV/cell): 3.46


[4]
PaAlTl2Te5 | PBE | optimized geometry

a = 4.382 Å, b = 19.957 Å, c = 14.986 Å
α = 90.00°, β = 90.00°, γ = 90.00°
Space group Cmc2_1 (No. 36)
Asymmetric unit:
Pa 0.000 0.204 0.000 [4 per cell]
Al 0.000 0.434 0.390 [4 per cell]
Tl 0.000 0.114 0.306 [4 per cell]
Tl 0.000 0.121 0.653 [4 per cell]
Te 0.000 0.048 0.998 [4 per cell]
Te 0.000 0.300 0.636 [4 per cell]
Te 0.000 0.301 0.355 [4 per cell]
Te 0.000 0.348 0.984 [4 per cell]
Te 0.000 0.498 0.243 [4 per cell]

Results
Magnetization (μB/atom): 0.01
Total energy (eV/cell): -154.02
D(E_F) (states/eV/cell): 2.13


[5]
BaPt2N4 | PBE | optimized geometry

a = 9.206 Å, b = 4.930 Å, c = 7.000 Å
α = 90.00°, β = 111.02°, γ = 90.00°
Space group C2/m (No. 12)
Asymmetric unit:
Ba 0.000 0.000 0.000 [2 per cell]
Pt 0.129 0.500 0.691 [4 per cell]
N 0.146 0.120 0.700 [8 per cell]

Results
Magnetization (μB/atom): 0.00
Total energy (eV/cell): -95.28
D(E_F) (states/eV/cell): 3.67


[6]
Ho3Hf | PBE | optimized geometry

a = 4.830 Å, b = 4.830 Å, c = 9.619 Å
α = 90.00°, β = 90.00°, γ = 90.00°
Space group I4/mmm (No. 139)
Asymmetric unit:
Ho 0.000 0.000 0.000 [2 per cell]
Ho 0.000 0.500 0.250 [4 per cell]
Hf 0.000 0.000 0.500 [2 per cell]

Results
Magnetization (μB/atom): 0.00
Total energy (eV/cell): -46.31
Energy above the lowest structure with this stoichiometry (meV per atom): 28
D(E_F) (states/eV/cell): 9.66
Formation energy from the elements (meV/atom): 133


[7]
La2Ge2O7 | PBE | optimized geometry

a = 7.108 Å, b = 7.133 Å, c = 12.878 Å
α = 93.65°, β = 90.75°, γ = 91.24°
Space group P-1 (No. 2)
Asymmetric unit:
La 0.048 0.329 0.117 [2 per cell]
La 0.121 0.081 0.361 [2 per cell]
La 0.331 0.825 0.109 [2 per cell]
La 0.362 0.244 0.630 [2 per cell]
Ge 0.150 0.616 0.384 [2 per cell]
Ge 0.155 0.149 0.883 [2 per cell]
Ge 0.374 0.738 0.596 [2 per cell]
Ge 0.490 0.678 0.829 [2 per cell]
O 0.003 0.011 0.187 [2 per cell]
O 0.006 0.666 0.081 [2 per cell]
O 0.033 0.232 0.574 [2 per cell]
O 0.078 0.407 0.315 [2 per cell]
O 0.221 0.923 0.615 [2 per cell]
O 0.236 0.093 0.007 [2 per cell]
O 0.294 0.562 0.496 [2 per cell]
O 0.297 0.775 0.317 [2 per cell]
O 0.301 0.720 0.913 [2 per cell]
O 0.349 0.215 0.810 [2 per cell]
O 0.351 0.486 0.126 [2 per cell]
O 0.376 0.129 0.212 [2 per cell]
O 0.390 0.582 0.700 [2 per cell]
O 0.413 0.169 0.447 [2 per cell]

Results
Magnetization (μB/atom): 0.00
Total energy (eV/cell): -329.35
D(E_F) (states/eV/cell): 0.00


[8]
NiOs3Cl | PBE | optimized geometry

a = 4.580 Å, b = 4.580 Å, c = 4.580 Å
α = 90.00°, β = 90.00°, γ = 90.00°
Space group Pm-3m (No. 221)
Asymmetric unit:
Ni 0.000 0.000 0.000 [1 per cell]
Os 0.000 0.000 0.500 [3 per cell]
Cl 0.500 0.500 0.500 [1 per cell]

Results
Magnetization (μB/atom): 1.52
Total energy (eV/cell): -29.39
Energy above the lowest structure with this stoichiometry (meV per atom): 335
D(E_F) (states/eV/cell): 5.33


[9]
ZrTaAu | PBE | optimized geometry

a = 9.902 Å, b = 4.389 Å, c = 5.927 Å
α = 90.00°, β = 116.50°, γ = 90.00°
Space group Cm (No. 8)
Asymmetric unit:
Zr 0.000 0.000 0.000 [2 per cell]
Zr 0.168 0.500 0.828 [2 per cell]
Ta 0.174 0.500 0.347 [2 per cell]
Ta 0.326 0.000 0.638 [2 per cell]
Au 0.339 0.000 0.165 [2 per cell]
Au 0.496 0.500 0.494 [2 per cell]

Results
Magnetization (μB/atom): 0.00
Total energy (eV/cell): -96.24
Energy above the lowest structure with this stoichiometry (meV per atom): 183
D(E_F) (states/eV/cell): 8.86
Formation energy from the elements (meV/atom): -128


[10]
Ba2MgTl6Ga | PBE | optimized geometry

a = 7.408 Å, b = 7.599 Å, c = 8.017 Å
α = 63.27°, β = 62.76°, γ = 62.16°
Space group P-1 (No. 2)
Asymmetric unit:
Ba 0.185 0.391 0.218 [2 per cell]
Mg 0.000 0.000 0.000 [1 per cell]
Tl 0.166 0.837 0.328 [2 per cell]
Tl 0.324 0.837 0.662 [2 per cell]
Tl 0.347 0.167 0.835 [2 per cell]
Ga 0.500 0.500 0.500 [1 per cell]

Results
Magnetization (μB/atom): 0.00
Total energy (eV/cell): -23.94
D(E_F) (states/eV/cell): 3.52
Formation energy from the elements (meV/atom): -128


[11]
LiPuGaRh | PBE | optimized geometry

a = 6.662 Å, b = 6.662 Å, c = 6.662 Å
α = 90.00°, β = 90.00°, γ = 90.00°
Space group F-43m (No. 216)
Asymmetric unit:
Li 0.000 0.000 0.000 [4 per cell]
Pu 0.000 0.000 0.500 [4 per cell]
Ga 0.250 0.250 0.250 [4 per cell]
Rh 0.250 0.250 0.750 [4 per cell]

Results
Magnetization (μB/atom): 1.28
Total energy (eV/cell): -109.45
D(E_F) (states/eV/cell): 43.44
Formation energy from the elements (meV/atom): -184


[12]
In3Ag3GeO8 | PBE | optimized geometry

a = 11.150 Å, b = 6.438 Å, c = 6.977 Å
α = 90.00°, β = 122.25°, γ = 90.00°
Space group C2/m (No. 12)
Asymmetric unit:
In 0.000 0.000 0.000 [2 per cell]
In 0.250 0.250 0.000 [4 per cell]
Ag 0.000 0.500 0.500 [2 per cell]
Ag 0.250 0.250 0.500 [4 per cell]
Ge 0.000 0.500 0.000 [2 per cell]
O 0.013 0.279 0.817 [8 per cell]
O 0.209 0.500 0.183 [4 per cell]
O 0.229 0.000 0.186 [4 per cell]

Results
Magnetization (μB/atom): 0.00
Total energy (eV/cell): -153.85
D(E_F) (states/eV/cell): 5.90